Computed, not measured: ScNbC3 after structural relaxation at the PBE-GGA level of DFT.

Calculated values
Energy above the lowest structure with this stoichiometry: 0 kJ/mol of formula units
V: 70.5 Å³/f.u.
Energy relative to the elements: 1.194 eV/atom

Geometry as CIF:
```
data_ScNbC3
_space_group_name_H-M_alt 'P m -3 m'
_space_group_IT_number 221
_space_group_name_Hall '-P 4 2 3'
_cell_length_a 4.1312
_cell_length_b 4.1312
_cell_length_c 4.1312
_cell_angle_alpha 90.00
_cell_angle_beta 90.00
_cell_angle_gamma 90.00
loop_
_atom_site_label
_atom_site_fract_x
_atom_site_fract_y
_atom_site_fract_z
_atom_site_occupancy
Sc1 0.0000 0.0000 0.0000 1
Nb1 0.5000 0.5000 0.5000 1
C1 0.0000 0.5000 0.5000 1
```


Computed, not measured: TiSN2O after structural relaxation at the PBE-GGA level of DFT.

Calculated values
Formation energy without anion corrections: 489 meV/atom
V: 61.6 Å³/f.u.

Geometry as CIF:
```
data_TiSN2O
_space_group_name_H-M_alt 'P 4/m m m'
_space_group_IT_number 123
_space_group_name_Hall '-P 4 2'
_cell_length_a 4.0993
_cell_length_b 4.0993
_cell_length_c 3.6628
_cell_angle_alpha 90.00
_cell_angle_beta 90.00
_cell_angle_gamma 90.00
loop_
_atom_site_label
_atom_site_fract_x
_atom_site_fract_y
_atom_site_fract_z
_atom_site_occupancy
Ti1 0.0000 0.0000 0.0000 1
S1 0.5000 0.5000 0.5000 1
N1 0.0000 0.5000 0.0000 1
O1 0.0000 0.0000 0.5000 1
```


Computed, not measured: LiAl6Ir5 after structural relaxation at the PBE-GGA level of DFT.

Calculated values
V: 164.6 Å³/f.u.
Energy relative to the elements: -0.865 eV/atom

Geometry as CIF:
```
data_LiAl6Ir5
_space_group_name_H-M_alt 'I m m m'
_space_group_IT_number 71
_space_group_name_Hall '-I 2 2'
_cell_length_a 4.2855
_cell_length_b 5.9539
_cell_length_c 12.9001
_cell_angle_alpha 90.00
_cell_angle_beta 90.00
_cell_angle_gamma 90.00
loop_
_atom_site_label
_atom_site_fract_x
_atom_site_fract_y
_atom_site_fract_z
_atom_site_occupancy
Li1 0.0000 0.0000 0.0000 1
Al1 0.0000 0.2483 0.1666 1
Al2 0.0000 0.2548 0.5000 1
Ir1 0.0000 0.0000 0.3351 1
Ir2 0.0000 0.5000 0.0000 1
Ir3 0.0000 0.5000 0.3336 1
```


Computed, not measured: Tb2NdSb after structural relaxation at the PBE-GGA level of DFT.

Calculated values
Formation energy without anion corrections: -484 meV/atom
Energy above the lowest structure with this stoichiometry: 32 kJ/mol of formula units
V: 119.3 Å³/f.u.

Geometry as CIF:
```
data_Tb2NdSb
_space_group_name_H-M_alt 'P 4/m m m'
_space_group_IT_number 123
_space_group_name_Hall '-P 4 2'
_cell_length_a 4.0096
_cell_length_b 4.0096
_cell_length_c 7.4205
_cell_angle_alpha 90.00
_cell_angle_beta 90.00
_cell_angle_gamma 90.00
loop_
_atom_site_label
_atom_site_fract_x
_atom_site_fract_y
_atom_site_fract_z
_atom_site_occupancy
Tb1 0.0000 0.0000 0.2169 1
Nd1 0.5000 0.5000 0.5000 1
Sb1 0.5000 0.5000 0.0000 1
```


Computed, not measured: YAgMo after structural relaxation at the PBE-GGA level of DFT.

Calculated values
Energy above the lowest structure with this stoichiometry: 20 kJ/mol of formula units
V: 63.5 Å³/f.u.
Energy relative to the elements: 0.456 eV/atom

Geometry as CIF:
```
data_YAgMo
_space_group_name_H-M_alt 'I 4 m m'
_space_group_IT_number 107
_space_group_name_Hall 'I 4 -2'
_cell_length_a 3.3771
_cell_length_b 3.3771
_cell_length_c 11.1278
_cell_angle_alpha 90.00
_cell_angle_beta 90.00
_cell_angle_gamma 90.00
loop_
_atom_site_label
_atom_site_fract_x
_atom_site_fract_y
_atom_site_fract_z
_atom_site_occupancy
Y1 0.0000 0.0000 0.0000 1
Ag1 0.0000 0.0000 0.6898 1
Mo1 0.0000 0.0000 0.3257 1
```


Computed, not measured: Mo3AuSe after structural relaxation at the PBE-GGA level of DFT.

Calculated values
Formation energy without anion corrections: 1123 meV/atom
Energy above the lowest structure with this stoichiometry: 0 kJ/mol of formula units
V: 96.8 Å³/f.u.

Geometry as CIF:
```
data_Mo3AuSe
_space_group_name_H-M_alt 'P m -3 m'
_space_group_IT_number 221
_space_group_name_Hall '-P 4 2 3'
_cell_length_a 4.5916
_cell_length_b 4.5916
_cell_length_c 4.5916
_cell_angle_alpha 90.00
_cell_angle_beta 90.00
_cell_angle_gamma 90.00
loop_
_atom_site_label
_atom_site_fract_x
_atom_site_fract_y
_atom_site_fract_z
_atom_site_occupancy
Mo1 0.0000 0.0000 0.5000 1
Au1 0.5000 0.5000 0.5000 1
Se1 0.0000 0.0000 0.0000 1
```


Computed, not measured: Th5Co2Sn5 after structural relaxation at the PBE-GGA level of DFT.

Calculated values
V: 316.4 Å³/f.u.
Energy relative to the elements: -0.464 eV/atom

Geometry as CIF:
```
data_Th5Co2Sn5
_space_group_name_H-M_alt 'C 1 2/m 1'
_space_group_IT_number 12
_cell_length_a 16.4459
_cell_length_b 4.4067
_cell_length_c 11.8987
_cell_angle_alpha 90.00
_cell_angle_beta 132.78
_cell_angle_gamma 90.00
loop_
_space_group_symop_operation_xyz
'x,y,z'
'-x,-y,-z'
'-x,y,-z'
'x,-y,z'
'x+1/2,y+1/2,z'
'-x+1/2,-y+1/2,-z'
'-x+1/2,y+1/2,-z'
'x+1/2,-y+1/2,z'
loop_
_atom_site_label
_atom_site_fract_x
_atom_site_fract_y
_atom_site_fract_z
_atom_site_occupancy
Th1 0.0000 0.0000 0.0000 1
Th2 0.1241 0.0000 0.4178 1
Th3 0.1867 0.0000 0.8156 1
Co1 0.1495 0.5000 0.2679 1
Sn1 0.0000 0.5000 0.5000 1
Sn2 0.0607 0.5000 0.8599 1
Sn3 0.2502 0.0000 0.3022 1
```


Computed, not measured: Zn6Rh after structural relaxation at the PBE-GGA level of DFT.

Calculated values
Energy above the lowest structure with this stoichiometry: 0 kJ/mol of formula units
V: 108.0 Å³/f.u.
Energy relative to the elements: -0.190 eV/atom

Geometry as CIF:
```
data_Zn6Rh
_space_group_name_H-M_alt 'C m c m'
_space_group_IT_number 63
_space_group_name_Hall '-C 2c 2'
_cell_length_a 8.0335
_cell_length_b 6.6156
_cell_length_c 8.1305
_cell_angle_alpha 90.00
_cell_angle_beta 90.00
_cell_angle_gamma 90.00
loop_
_atom_site_label
_atom_site_fract_x
_atom_site_fract_y
_atom_site_fract_z
_atom_site_occupancy
Zn1 0.0000 0.2002 0.9996 1
Zn2 0.2122 0.5000 0.0000 1
Zn3 0.2494 0.2496 0.2500 1
Rh1 0.0000 0.5002 0.2500 1
```


Computed, not measured: Mg2CuCl after structural relaxation at the PBE-GGA level of DFT.

Calculated values
Formation energy without anion corrections: -447 meV/atom
Energy above the lowest structure with this stoichiometry: 32 kJ/mol of formula units
V: 74.5 Å³/f.u.

Geometry as CIF:
```
data_Mg2CuCl
_space_group_name_H-M_alt 'R -3 m'
_space_group_IT_number 166
_space_group_name_Hall '-R 3 2"'
_cell_length_a 3.3019
_cell_length_b 3.3019
_cell_length_c 23.6747
_cell_angle_alpha 90.00
_cell_angle_beta 90.00
_cell_angle_gamma 120.00
loop_
_atom_site_label
_atom_site_fract_x
_atom_site_fract_y
_atom_site_fract_z
_atom_site_occupancy
Mg1 0.0000 0.0000 0.2479 1
Cu1 0.0000 0.0000 0.5000 1
Cl1 0.0000 0.0000 0.0000 1
```


Computed, not measured: LaThSe4 after structural relaxation at the PBE-GGA level of DFT.

Calculated values
Formation energy without anion corrections: -1615 meV/atom
V: 165.3 Å³/f.u.

Geometry as CIF:
```
data_LaThSe4
_space_group_name_H-M_alt 'C m c 21'
_space_group_IT_number 36
_cell_length_a 4.1586
_cell_length_b 14.9592
_cell_length_c 10.6300
_cell_angle_alpha 90.00
_cell_angle_beta 90.00
_cell_angle_gamma 90.00
loop_
_space_group_symop_operation_xyz
'x,y,z'
'-x,-y,z+1/2'
'-x,y,z'
'x,-y,z+1/2'
'x+1/2,y+1/2,z'
'-x+1/2,-y+1/2,z+1/2'
'-x+1/2,y+1/2,z'
'x+1/2,-y+1/2,z+1/2'
loop_
_atom_site_label
_atom_site_fract_x
_atom_site_fract_y
_atom_site_fract_z
_atom_site_occupancy
La1 0.0000 0.2000 0.0000 1
Th1 0.0000 0.4404 0.1413 1
Se1 0.0000 0.0657 0.2128 1
Se2 0.0000 0.1412 0.4515 1
Se3 0.0000 0.2118 0.7031 1
Se4 0.0000 0.4322 0.4250 1
```


Computed, not measured: Cs2Tl4Cd3 after structural relaxation at the PBE-GGA level of DFT.

Calculated values
V: 325.5 Å³/f.u.
Energy relative to the elements: -0.043 eV/atom

Geometry as CIF:
```
data_Cs2Tl4Cd3
_space_group_name_H-M_alt 'F m m m'
_space_group_IT_number 69
_space_group_name_Hall '-F 2 2'
_cell_length_a 6.5051
_cell_length_b 12.2065
_cell_length_c 16.3977
_cell_angle_alpha 90.00
_cell_angle_beta 90.00
_cell_angle_gamma 90.00
loop_
_atom_site_label
_atom_site_fract_x
_atom_site_fract_y
_atom_site_fract_z
_atom_site_occupancy
Cs1 0.0000 0.0000 0.1430 1
Tl1 0.0000 0.1771 0.3458 1
Cd1 0.0000 0.0000 0.5000 1
Cd2 0.2500 0.2500 0.0000 1
```


Computed, not measured: V5Ge4Mo2 after structural relaxation at the PBE-GGA level of DFT.

Calculated values
V: 176.7 Å³/f.u.
Energy relative to the elements: 0.191 eV/atom

Geometry as CIF:
```
data_V5Ge4Mo2
_space_group_name_H-M_alt 'I m m m'
_space_group_IT_number 71
_space_group_name_Hall '-I 2 2'
_cell_length_a 3.1854
_cell_length_b 6.2493
_cell_length_c 17.7565
_cell_angle_alpha 90.00
_cell_angle_beta 90.00
_cell_angle_gamma 90.00
loop_
_atom_site_label
_atom_site_fract_x
_atom_site_fract_y
_atom_site_fract_z
_atom_site_occupancy
V1 0.0000 0.0000 0.0000 1
V2 0.0000 0.3113 0.3576 1
Ge1 0.0000 0.2116 0.5000 1
Ge2 0.0000 0.5000 0.2290 1
Mo1 0.0000 0.5000 0.0884 1
```


In the order shown, the computed DOS(E_F) values come out to 5.76; 4.33; 6.20; 5.05; 6.46; 8.11; 19.78; 6.53; 1.98; 14.88; 24.15; 21.75 states/eV per cell.
In the order shown, the computed total energy values come out to -38.10; -31.19; -158.11; -20.09; -37.56; -33.64; -153.80; -65.30; -32.76; -143.91; -57.22; -167.25 eV per cell.